1.
Below is a relaxed structure of PuCd2Cu, with properties calculated at the PBE level.

a b c (Å): 3.1008 3.1008 10.1214
angles (deg): 81.19 81.19 60.00
Closest atoms and distances in Å follow each position.
Fractional coordinates of all 4 atoms:
Pu1 0.4999 0.4999 0.5002  6 Pu 3.10, 6 Cd 3.36-3.37
Cd1 0.0714 0.0714 0.7859  3 Cu 2.78, 6 Cd 3.10
Cd2 0.2619 0.2619 0.2142  3 Cu 2.79, 6 Cd 3.10
Cu1 0.6668 0.6668 0.9997  6 Cd 2.78-2.79, 6 Cu 3.10

Summary:
Calculated volume (Å³/cell): 82.9
ΔH_f (0 K) (eV/atom): 0.1294
DOS(E_F) (states/eV per cell): 7.24
Electronic total energy (eV/atom): -4.9352


2.
Below is a relaxed structure of Th5MgIn4, with properties calculated at the PBE level.

a b c (Å): 4.1900 4.1900 16.5255
angles (deg): 90.00 90.00 90.00
Closest atoms and distances in Å follow each position.
Fractional coordinates of all 10 atoms:
Th1 0.5000 0.5000 0.1028  2 Th 3.26-3.40, 4 In 3.36, 4 Mg 3.42
Th2 0.5000 0.5000 0.3000  2 Th 3.26-3.31, 8 In 3.39-3.40
Th3 0.5000 0.5000 0.5000  2 Th 3.31, 8 In 3.40
Th4 0.5000 0.5000 0.7000  2 Th 3.26-3.31, 8 In 3.39-3.40
Th5 0.5000 0.5000 0.8972  2 Th 3.26-3.40, 4 In 3.36, 4 Mg 3.42
Mg1 0.0000 0.0000 0.0000  2 In 3.29, 8 Th 3.42
In1 0.0000 0.0000 0.1990  1 Mg 3.29, 1 In 3.31, 8 Th 3.36-3.40
In2 0.0000 0.0000 0.3992  2 In 3.31-3.33, 8 Th 3.39-3.40
In3 0.0000 0.0000 0.6008  2 In 3.31-3.33, 8 Th 3.39-3.40
In4 0.0000 0.0000 0.8010  1 Mg 3.29, 1 In 3.31, 8 Th 3.36-3.40

Summary:
Calculated volume (Å³/cell): 290.1
ΔH_f (0 K) (eV/atom): -0.1684
DOS(E_F) (states/eV per cell): 7.42
Electronic total energy (eV/atom): -5.1332


3.
Below is a relaxed structure of RbYCuTe2, with properties calculated at the PBE level.

a b c (Å): 4.5503 8.7158 8.8321
angles (deg): 95.85 90.00 90.00
Closest atoms and distances in Å follow each position.
Fractional coordinates of all 10 atoms:
Rb1 0.1335 0.5000 0.7500  6 Te 3.66-3.76
Rb2 0.8665 0.5000 0.2500  6 Te 3.66-3.76
Y1 0.4956 0.0000 0.2500  4 Te 3.05-3.06, 4 Cu 3.16-3.18
Y2 0.5044 0.0000 0.7500  4 Te 3.05-3.06, 4 Cu 3.16-3.18
Cu1 0.0000 0.0000 0.0000  2 Te 2.55
Cu2 0.0000 0.0000 0.5000  2 Te 2.55
Te1 0.6509 0.7699 0.9778  1 Cu 2.55
Te2 0.6509 0.2301 0.5222  1 Cu 2.55
Te3 0.3491 0.7699 0.4778  1 Cu 2.55
Te4 0.3491 0.2301 0.0222  1 Cu 2.55

Summary:
ΔE_f (raw) (eV per atom): -0.7675
Calculated volume (Å³/cell): 348.5
DOS(E_F) (states/eV per cell): 4.86
Electronic total energy (eV/atom): -4.3297


4.
Below is a relaxed structure of BaNaGa2, with properties calculated at the PBE level.

a b c (Å): 5.1608 5.1608 10.7865
angles (deg): 76.16 76.16 90.00
Closest atoms and distances in Å follow each position.
Fractional coordinates of all 8 atoms:
Na1 0.5000 0.5000 0.0000  4 Ga 2.85
Na2 0.2500 0.7500 0.5000  4 Ga 2.85
Ba1 0.0000 0.0000 0.0000  4 Na 3.65, 8 Ga 3.75-3.93
Ba2 0.7500 0.2500 0.5000  4 Na 3.65, 8 Ga 3.75-3.93
Ga1 0.4012 0.1250 0.2500  2 Ga 2.59, 2 Na 2.85
Ga2 0.3488 0.6250 0.2500  2 Ga 2.59, 2 Na 2.85
Ga3 0.3750 0.5988 0.7500  2 Ga 2.59, 2 Na 2.85
Ga4 0.8750 0.6512 0.7500  2 Ga 2.59, 2 Na 2.85

Summary:
Calculated volume (Å³/cell): 270.3
ΔH_f (0 K) (eV/atom): -0.0388
DOS(E_F) (states/eV per cell): 3.63
Electronic total energy (eV/atom): -2.3627


5.
Below is a relaxed structure of NpVReW, with properties calculated at the PBE level.

a b c (Å): 4.5318 4.5318 4.5318
angles (deg): 60.00 60.00 60.00
Closest atoms and distances in Å follow each position.
Fractional coordinates of all 4 atoms:
Np1 0.0000 0.0000 0.0000  4 W 2.78, 4 V 2.78
Re1 0.5000 0.5000 0.5000  4 V 2.78, 4 W 2.78
W1 0.7500 0.7500 0.7500  4 Re 2.78, 4 Np 2.78
V1 0.2500 0.2500 0.2500  4 Np 2.78, 4 Re 2.78

Summary:
Calculated volume (Å³/cell): 65.8
ΔH_f (0 K) (eV/atom): 0.3237
DOS(E_F) (states/eV per cell): 9.79
Electronic total energy (eV/atom): -11.5414


6.
Below is a relaxed structure of Be2CdMo, with properties calculated at the PBE level.

a b c (Å): 4.3143 4.3143 4.3143
angles (deg): 60.00 60.00 60.00
Closest atoms and distances in Å follow each position.
Fractional coordinates of all 4 atoms:
Be1 0.0000 0.0000 0.0000  4 Mo 2.64, 4 Be 2.64
Be2 0.2500 0.2500 0.2500  4 Cd 2.64, 4 Be 2.64
Mo1 0.7500 0.7500 0.7500  4 Cd 2.64, 4 Be 2.64
Cd1 0.5000 0.5000 0.5000  4 Mo 2.64, 4 Be 2.64

Summary:
Calculated volume (Å³/cell): 56.8
ΔH_f (0 K) (eV/atom): 0.7203
DOS(E_F) (states/eV per cell): 0.90
Electronic total energy (eV/atom): -4.0794


7.
Below is a relaxed structure of Rb2AlRuF6, with properties calculated at the PBE level.

a b c (Å): 5.7177 5.7177 6.3118
angles (deg): 63.07 63.07 90.00
Closest atoms and distances in Å follow each position.
Fractional coordinates of all 10 atoms:
Ru1 0.0000 0.0000 0.0000  4 F 2.19
Al1 0.5000 0.5000 0.0000  6 F 1.80-1.85
Rb1 0.7500 0.2500 0.5000  12 F 2.93-3.16
Rb2 0.2500 0.7500 0.5000  12 F 2.93-3.16
F1 0.3139 0.3139 0.3722  1 Al 1.80
F2 0.6861 0.6861 0.6278  1 Al 1.80
F3 0.2708 0.2708 0.0000  1 Al 1.85
F4 0.7292 0.7292 0.0000  1 Al 1.85
F5 0.7292 0.2708 0.0000  1 Al 1.85
F6 0.2708 0.7292 0.0000  1 Al 1.85

Summary:
ΔE_f (raw) (eV per atom): -2.4207
Calculated volume (Å³/cell): 158.5
DOS(E_F) (states/eV per cell): 0.00
Electronic total energy (eV/atom): -5.0388


8.
Below is a relaxed structure of HfBi, with properties calculated at the PBE level.

a b c (Å): 4.6335 9.6728 7.2072
angles (deg): 90.00 90.00 90.00
Closest atoms and distances in Å follow each position.
Fractional coordinates of all 12 atoms:
Hf1 0.5000 0.7954 0.5320  6 Bi 3.01-3.14, 2 Hf 3.07
Hf2 0.5000 0.2046 0.5320  6 Bi 3.01-3.14, 2 Hf 3.07
Hf3 0.5000 0.2954 0.0320  6 Bi 3.01-3.14, 2 Hf 3.07
Hf4 0.5000 0.7046 0.0320  6 Bi 3.01-3.14, 2 Hf 3.07
Hf5 0.0000 0.0000 0.5870  6 Bi 3.00-3.36, 4 Hf 3.07
Hf6 0.0000 0.5000 0.0870  6 Bi 3.00-3.36, 4 Hf 3.07
Bi1 0.0000 0.3278 0.7403  6 Hf 3.00-3.36, 1 Bi 3.33
Bi2 0.0000 0.6722 0.7403  6 Hf 3.00-3.36, 1 Bi 3.33
Bi3 0.0000 0.8278 0.2403  6 Hf 3.00-3.36, 1 Bi 3.33
Bi4 0.0000 0.1722 0.2403  6 Hf 3.00-3.36, 1 Bi 3.33
Bi5 0.5000 0.0000 0.8704  6 Hf 3.09-3.14
Bi6 0.5000 0.5000 0.3704  6 Hf 3.09-3.14

Summary:
Calculated volume (Å³/cell): 323.0
ΔH_f (0 K) (eV/atom): 0.0207
DOS(E_F) (states/eV per cell): 7.89
Electronic total energy (eV/atom): -6.8965


9.
Below is a relaxed structure of TaAgNO2, with properties calculated at the PBE level.

a b c (Å): 3.9471 3.9471 4.0080
angles (deg): 90.00 90.00 90.00
Closest atoms and distances in Å follow each position.
Fractional coordinates of all 5 atoms:
N1 0.0000 0.0000 0.5000  2 Ag 2.00
O1 0.0000 0.5000 0.0000  2 Ag 1.97
O2 0.5000 0.0000 0.0000  2 Ag 1.97
Ag1 0.0000 0.0000 0.0000  4 O 1.97, 2 N 2.00
Ta1 0.5000 0.5000 0.5000  4 N 2.79, 8 O 2.81

Summary:
ΔE_f (raw) (eV per atom): 0.9828
Calculated volume (Å³/cell): 62.4
DOS(E_F) (states/eV per cell): 3.83
Electronic total energy (eV/atom): -5.6064


10.
Below is a relaxed structure of La4Se3Cl, with properties calculated at the PBE level.

a b c (Å): 7.4408 7.3907 8.5486
angles (deg): 90.00 90.00 109.44
Closest atoms and distances in Å follow each position.
Fractional coordinates of all 16 atoms:
Cl1 0.7500 0.0000 0.8735  6 La 3.04-3.05
Cl2 0.2500 0.0000 0.1265  6 La 3.04-3.05
Se1 0.7500 0.0000 0.3752  6 La 3.02-3.03
Se2 0.2500 0.0000 0.6248  6 La 3.02-3.03
Se3 0.7500 0.5000 0.6266  6 La 3.01-3.03
Se4 0.7500 0.5000 0.1242  6 La 3.01-3.02
Se5 0.2500 0.5000 0.3734  6 La 3.01-3.03
Se6 0.2500 0.5000 0.8758  6 La 3.01-3.02
La1 0.0028 0.2525 0.6237  5 Se 3.01-3.03, 1 Cl 3.04
La2 0.4989 0.2524 0.8747  4 Se 3.01-3.03, 2 Cl 3.04-3.05
La3 0.5028 0.2525 0.3763  5 Se 3.01-3.03, 1 Cl 3.04
La4 0.9989 0.2524 0.1253  4 Se 3.01-3.03, 2 Cl 3.04-3.05
La5 0.0011 0.7476 0.8747  4 Se 3.01-3.03, 2 Cl 3.04-3.05
La6 0.4972 0.7475 0.6237  5 Se 3.01-3.03, 1 Cl 3.04
La7 0.5011 0.7476 0.1253  4 Se 3.01-3.03, 2 Cl 3.04-3.05
La8 0.9972 0.7475 0.3763  5 Se 3.01-3.03, 1 Cl 3.04

Summary:
ΔE_f (raw) (eV per atom): -1.8888
Calculated volume (Å³/cell): 443.3
DOS(E_F) (states/eV per cell): 10.65
Electronic total energy (eV/atom): -5.8900